Arrangement i

Compound: TlRePt2
Source: Alexandria
Functional: GGA-PBEsol
Structure: relaxed

Output
total magnetic moment	0.00	μB/f.u.

Lattice parameters (Å, degrees): 5.5766 8.3008 2.7976 90.00 90.00 90.00
Space group Cmmm (No. 65)
Symmetry-distinct sites (fractional):
Tl  0.0000  0.0000  0.0000
Re  0.0000  0.5000  0.0000
Pt  0.2500  0.2500  0.5000

---

Arrangement ii

Compound: TlRePt2
Source: Alexandria
Functional: GGA-PBEsol
Structure: relaxed

Output
total magnetic moment	0.00	μB/f.u.

Lattice parameters (Å, degrees): 9.1480 2.8608 5.0716 90.00 97.73 90.00
Space group C2/m (No. 12)
Symmetry-distinct sites (fractional):
Tl  0.0000  0.0000  0.0000
Re  0.0000  0.5000  0.5000
Pt  0.2419  0.0000  0.7266

---

In order of decreasing stability: arrangement i, arrangement ii.